A relaxed NaCrFe3 crystal, computed with PBE-GGA.

Cell lengths 4.3308, 4.3308, 4.3308 Å; angles 90.00, 90.00, 90.00 degrees
Fractional positions:
Cr1 0.0000 0.0000 0.0000
Fe1 0.0000 0.0000 0.5000
Fe2 0.0000 0.5000 0.0000
Fe3 0.5000 0.0000 0.0000
Na1 0.5000 0.5000 0.5000

**Energy of formation from the pure elements**: 1.09 eV per atom
**Symmetry**: No. 221
**Crystal system**: cubic
**Magnetization**: 4.72 Bohr magnetons per cell